# 1
## TlCrSe2 (GGA-PBEsol)

Data for an optimized crystal structure of TlCrSe2.

Properties
* crystal system: tetragonal
* energy relative to the elements, uncorrected: -0.546 eV/f.u.
* symmetry: P4mm, No. 99

Cell and atoms, written as POSCAR:
```
TlCrSe2
1.0
-2.127 0.795 2.616
0.985 -2.869 1.673
6.203 4.308 3.735
Se Tl Cr
2 1 1
Direct
0.000 0.000 0.874
0.500 0.500 0.229
0.000 0.000 0.443
0.500 0.500 0.954
```



# 2
## TlCrSe2 (GGA-PBEsol)

Data for an optimized crystal structure of TlCrSe2.

Properties
* crystal system: trigonal
* energy relative to the elements, uncorrected: -1.417 eV/f.u.
* symmetry: R3m, No. 160

Cell and atoms, written as POSCAR:
```
TlCrSe2
1.0
-1.720 -2.631 -0.796
1.519 -2.769 -0.735
-0.341 -4.305 8.360
Cr Se Tl
1 2 1
Direct
0.996 0.996 0.011
0.275 0.275 0.175
0.385 0.385 0.845
0.162 0.162 0.514
```



# 3
## TlCrSe2 (GGA-PBEsol)

Data for an optimized crystal structure of TlCrSe2.

Properties
* crystal system: orthorhombic
* energy relative to the elements, uncorrected: -0.425 eV/f.u.
* symmetry: Immm, No. 71

Cell and atoms, written as POSCAR:
```
TlCrSe2
1.0
-0.613 3.508 0.457
-3.450 1.761 -4.039
-5.262 0.686 1.776
Cr Se Tl
1 2 1
Direct
0.000 0.500 0.500
0.689 0.311 0.311
0.311 0.689 0.689
0.500 0.000 0.000
```



# 4
## TlCrSe (GGA-PBEsol)

Data for an optimized crystal structure of TlCrSe.

Properties
* crystal system: trigonal
* energy relative to the elements, uncorrected: 0.300 eV/f.u.
* symmetry: P3m1, No. 156

Cell and atoms, written as POSCAR:
```
TlCrSe
1.0
-1.166 -2.724 -1.761
0.803 -0.320 3.336
-5.768 1.479 1.531
Tl Se Cr
1 1 1
Direct
0.333 0.667 0.303
0.667 0.333 0.740
0.000 0.000 0.957
```



# 5
## ZrTlCr2Se (GGA-PBEsol)

Data for an optimized crystal structure of ZrTlCr2Se.

Properties
* crystal system: tetragonal
* energy relative to the elements, uncorrected: 4.150 eV/f.u.
* symmetry: P4/mmm, No. 123

Cell and atoms, written as POSCAR:
```
ZrTlCr2Se
1.0
4.405 0.000 0.000
0.000 4.405 0.000
0.000 0.000 5.421
Zr Cr Tl Se
1 2 1 1
Direct
0.500 0.500 0.500
0.000 0.500 0.000
0.500 0.000 0.000
0.000 0.000 0.500
0.000 0.000 0.000
```



# 6
## CrW3Se (GGA-PBEsol)

Data for an optimized crystal structure of CrW3Se.

Properties
* crystal system: cubic
* energy relative to the elements, uncorrected: 9.152 eV/f.u.
* symmetry: Pm-3m, No. 221

Cell and atoms, written as POSCAR:
```
CrW3Se
1.0
-2.406 2.437 -2.978
-3.486 0.107 2.904
1.630 3.828 1.815
Cr W Se
1 3 1
Direct
0.500 0.500 0.500
0.000 0.500 0.000
0.000 0.000 0.500
0.500 0.000 0.000
0.000 0.000 0.000
```



# 7
## CrWSe2 (GGA-PBEsol)

Data for an optimized crystal structure of CrWSe2.

Properties
* crystal system: orthorhombic
* energy relative to the elements, uncorrected: -0.054 eV/f.u.
* relative energy among the computed polymorphs: 0.0 meV/atom
* symmetry: Immm, No. 71

Cell and atoms, written as POSCAR:
```
CrWSe2
1.0
-1.100 2.648 -1.865
-3.513 -0.709 1.064
3.044 2.839 5.371
Se Cr W
2 1 1
Direct
0.357 0.357 0.714
0.643 0.643 0.286
0.000 0.500 0.000
0.500 0.000 0.000
```



# 8
## CrW2Se (GGA-PBEsol)

Data for an optimized crystal structure of CrW2Se.

Properties
* crystal system: tetragonal
* energy relative to the elements, uncorrected: 2.602 eV/f.u.
* symmetry: P4/mmm, No. 123

Cell and atoms, written as POSCAR:
```
CrW2Se
1.0
-2.946 1.895 1.093
-0.026 -1.864 3.160
2.696 3.117 1.861
W Se Cr
2 1 1
Direct
0.500 0.000 0.000
0.000 0.500 0.000
0.000 0.000 0.500
0.500 0.500 0.500
```



| no. | energy (eV/atom) |
| --- | --- |
| 1 | -5.28 |
| 2 | -5.50 |
| 3 | -5.25 |
| 4 | -5.47 |
| 5 | -6.38 |
| 6 | -9.27 |
| 7 | -7.95 |
| 8 | -9.78 |